Record 1
## TmLuZnIn (PBE)

Data for crystalline TmLuZnIn at its relaxed geometry.

Results
* magnetization: 0.0 Bohr magnetons per cell
* crystal system: cubic
* calculated total energy: -3.619 eV/atom

Lattice parameters (Å, degrees): 7.2263 7.2263 7.2263 90.00 90.00 90.00
Space group F-43m (No. 216)
Unique sites:
Tm (0.0000, 0.0000, 0.0000) (multiplicity 4)
Lu (0.0000, 0.0000, 0.5000) (multiplicity 4)
Zn (0.2500, 0.2500, 0.7500) (multiplicity 4)
In (0.2500, 0.2500, 0.2500) (multiplicity 4)

Record 2
## Lu2VIn (PBE)

Data for crystalline Lu2VIn at its relaxed geometry.

Results
* offset from the most stable computed form: 15 kJ/mol of formula units
* magnetization: 13.7 Bohr magnetons per cell
* crystal system: cubic
* calculated total energy: -5.271 eV/atom

Lattice parameters (Å, degrees): 7.2109 7.2109 7.2109 90.00 90.00 90.00
Space group Fm-3m (No. 225)
Unique sites:
Lu (0.2500, 0.2500, 0.2500) (multiplicity 8)
V (0.0000, 0.0000, 0.0000) (multiplicity 4)
In (0.0000, 0.0000, 0.5000) (multiplicity 4)

Record 3
## Lu2VIn (PBE)

Data for crystalline Lu2VIn at its relaxed geometry.

Results
* offset from the most stable computed form: 0 kJ/mol of formula units
* magnetization: 3.0 Bohr magnetons per cell
* crystal system: tetragonal
* calculated total energy: -5.311 eV/atom

Lattice parameters (Å, degrees): 3.5904 3.5904 7.2840 90.00 90.00 90.00
Space group P4/mmm (No. 123)
Unique sites:
Lu (0.0000, 0.0000, 0.2288) (multiplicity 2)
V (0.5000, 0.5000, 0.0000) (multiplicity 1)
In (0.5000, 0.5000, 0.5000) (multiplicity 1)

Record 4
## Y2LuIn (PBE)

Data for crystalline Y2LuIn at its relaxed geometry.

Results
* offset from the most stable computed form: 41 kJ/mol of formula units
* magnetization: 2.8 Bohr magnetons per cell
* crystal system: cubic
* calculated total energy: -5.204 eV/atom

Lattice parameters (Å, degrees): 7.6771 7.6771 7.6771 90.00 90.00 90.00
Space group Fm-3m (No. 225)
Unique sites:
Y (0.2500, 0.2500, 0.2500) (multiplicity 8)
Lu (0.0000, 0.0000, 0.0000) (multiplicity 4)
In (0.0000, 0.0000, 0.5000) (multiplicity 4)

Record 5
## Y2LuIn (PBE)

Data for crystalline Y2LuIn at its relaxed geometry.

Results
* offset from the most stable computed form: 0 kJ/mol of formula units
* magnetization: 0.3 Bohr magnetons per cell
* crystal system: tetragonal
* calculated total energy: -5.311 eV/atom

Lattice parameters (Å, degrees): 4.8325 4.8325 4.8109 90.00 90.00 90.00
Space group P4/mmm (No. 123)
Unique sites:
Y (0.0000, 0.5000, 0.0000) (multiplicity 2)
Lu (0.0000, 0.0000, 0.5000) (multiplicity 1)
In (0.5000, 0.5000, 0.5000) (multiplicity 1)

Record 6
## Y2LuIn (PBE)

Data for crystalline Y2LuIn at its relaxed geometry.

Results
* offset from the most stable computed form: 11 kJ/mol of formula units
* magnetization: 0.0 Bohr magnetons per cell
* crystal system: tetragonal
* calculated total energy: -5.284 eV/atom

Lattice parameters (Å, degrees): 3.5639 3.5639 9.1930 90.00 90.00 90.00
Space group P4/mmm (No. 123)
Unique sites:
Y (0.0000, 0.0000, 0.2298) (multiplicity 2)
Lu (0.5000, 0.5000, 0.5000) (multiplicity 1)
In (0.5000, 0.5000, 0.0000) (multiplicity 1)

Record 7
## LuZnIn2 (PBE)

Data for crystalline LuZnIn2 at its relaxed geometry.

Results
* magnetization: 0.1 Bohr magnetons per cell
* crystal system: tetragonal
* calculated total energy: -2.968 eV/atom

Lattice parameters (Å, degrees): 3.6017 3.6017 7.0867 90.00 90.00 90.00
Space group P4/mmm (No. 123)
Unique sites:
Lu (0.0000, 0.0000, 0.0000) (multiplicity 1)
Zn (0.0000, 0.0000, 0.5000) (multiplicity 1)
In (0.5000, 0.5000, 0.2809) (multiplicity 2)

Record 8
## LuZnIn (PBE)

Data for crystalline LuZnIn at its relaxed geometry.

Results
* magnetization: 0.0 Bohr magnetons per cell
* crystal system: cubic
* calculated total energy: -3.169 eV/atom

Lattice parameters (Å, degrees): 6.5358 6.5358 6.5358 90.00 90.00 90.00
Space group F-43m (No. 216)
Unique sites:
Lu (0.0000, 0.0000, 0.0000) (multiplicity 4)
Zn (0.2500, 0.2500, 0.7500) (multiplicity 4)
In (0.0000, 0.0000, 0.5000) (multiplicity 4)

no.,energy of formation (eV/atom)
1,-0.368
2,-0.047
3,-0.086
4,-0.158
5,-0.265
6,-0.237
7,-0.150
8,-0.324